1.
DFT (PBE) results for Er4MgGa2Ru after structural relaxation.

Computed properties:
size of the total moment	0.00	μB per formula unit
formation energy from the elements	-451	meV/atom

Lattice parameters (Å, degrees): 5.0156 5.0156 24.5488 90.00 90.00 120.00
With the nearest neighbours (Å) after each atom.
Space group R-3m (No. 166, hexagonal axes)
Symmetry-distinct sites (fractional):
1 Er 0.0000 0.0000 0.1143 (multiplicity 6)  1 Ru 2.81, 4 Ga 2.94-3.10
2 Er 0.0000 0.0000 0.3674 (multiplicity 6)  3 Ru 3.01, 4 Ga 3.12-3.24, 1 Mg 3.25, 3 Er 3.34
3 Mg 0.0000 0.0000 0.5000 (multiplicity 3)  8 Er 3.17-3.25, 6 Ga 3.42
4 Ga 0.0000 0.0000 0.2404 (multiplicity 6)  8 Er 2.94-3.24
5 Ru 0.0000 0.0000 0.0000 (multiplicity 3)  8 Er 2.81-3.01

***

2.
DFT (PBE) results for Cs3TcBi after structural relaxation.

Computed properties:
size of the total moment	4.87	μB per formula unit
formation energy from the elements	1010	meV/atom

Lattice parameters (Å, degrees): 7.4669 7.4669 7.4669 90.00 90.00 90.00
With the nearest neighbours (Å) after each atom.
Space group Pm-3m (No. 221)
Symmetry-distinct sites (fractional):
1 Cs 0.0000 0.0000 0.5000 (multiplicity 3)  2 Bi 3.73
2 Tc 0.5000 0.5000 0.5000 (multiplicity 1)  12 Cs 5.28
3 Bi 0.0000 0.0000 0.0000 (multiplicity 1)  6 Cs 3.73

***

3.
DFT (PBE) results for Sr3Ag2Ge3 after structural relaxation.

Computed properties:
size of the total moment	0.00	μB per formula unit
formation energy from the elements	-477	meV/atom

Lattice parameters (Å, degrees): 4.6339 11.4383 16.0674 90.00 90.00 90.00
With the nearest neighbours (Å) after each atom.
Space group Cmcm (No. 63)
Symmetry-distinct sites (fractional):
1 Sr 0.0000 0.0933 0.2500 (multiplicity 4)  5 Ge 3.32-3.34, 4 Ag 3.34
2 Sr 0.0000 0.3726 0.1030 (multiplicity 8)  4 Ag 3.30-3.45, 7 Ge 3.33-3.52
3 Ag 0.0000 0.3331 0.6100 (multiplicity 8)  3 Ge 2.70-2.73
4 Ge 0.0000 0.0892 0.0433 (multiplicity 8)  1 Ge 2.47, 2 Ag 2.70
5 Ge 0.0000 0.1985 0.7500 (multiplicity 4)  2 Ag 2.73

***

4.
DFT (PBE) results for YCo3Pt after structural relaxation.

Computed properties:
size of the total moment	3.76	μB per formula unit
formation energy from the elements	1716	meV/atom

Lattice parameters (Å, degrees): 4.5093 4.5093 4.5093 90.00 90.00 90.00
With the nearest neighbours (Å) after each atom.
Space group Pm-3m (No. 221)
Symmetry-distinct sites (fractional):
1 Y 0.0000 0.0000 0.0000 (multiplicity 1)  6 Co 2.25
2 Co 0.0000 0.0000 0.5000 (multiplicity 3)  2 Y 2.25
3 Pt 0.5000 0.5000 0.5000 (multiplicity 1)  12 Co 3.19

***

5.
DFT (PBE) results for CsBa3Pt after structural relaxation.

Computed properties:
size of the total moment	0.00	μB per formula unit
formation energy from the elements	-312	meV/atom

Lattice parameters (Å, degrees): 6.5017 6.5017 6.5017 90.00 90.00 90.00
With the nearest neighbours (Å) after each atom.
Space group Pm-3m (No. 221)
Symmetry-distinct sites (fractional):
1 Cs 0.0000 0.0000 0.0000 (multiplicity 1)  12 Ba 4.60
2 Ba 0.0000 0.5000 0.5000 (multiplicity 3)  2 Pt 3.25
3 Pt 0.5000 0.5000 0.5000 (multiplicity 1)  6 Ba 3.25

***

6.
DFT (PBE) results for Cr4Hg after structural relaxation.

Computed properties:
size of the total moment	18.30	μB per formula unit
formation energy from the elements	1847	meV/atom

Lattice parameters (Å, degrees): 5.1309 5.1309 5.1309 90.00 90.00 90.00
With the nearest neighbours (Å) after each atom.
Space group Pm-3m (No. 221)
Symmetry-distinct sites (fractional):
1 Cr 0.0000 0.0000 0.0000 (multiplicity 1)  12 Cr 3.63
2 Cr 0.0000 0.5000 0.5000 (multiplicity 3)  2 Hg 2.57
3 Hg 0.5000 0.5000 0.5000 (multiplicity 1)  6 Cr 2.57

***

7.
DFT (PBE) results for LiMnZn after structural relaxation.

Computed properties:
size of the total moment	0.38	μB per formula unit
formation energy from the elements	160	meV/atom

Lattice parameters (Å, degrees): 13.5158 2.5779 4.5973 90.00 103.36 90.00
With the nearest neighbours (Å) after each atom.
Space group C2/m (No. 12)
Symmetry-distinct sites (fractional):
1 Li 0.2468 0.0000 0.2388 (multiplicity 4)  3 Zn 2.54-2.68, 6 Li 2.56-2.71, 3 Mn 2.81-2.83
2 Mn 0.0670 0.5000 0.9419 (multiplicity 4)  1 Mn 2.00
3 Zn 0.0888 0.0000 0.4503 (multiplicity 4)  3 Li 2.54-2.68, 3 Zn 2.54-2.58, 6 Mn 2.63-2.76

***

8.
DFT (PBE) results for Ba6IrAu after structural relaxation.

Computed properties:
size of the total moment	0.00	μB per formula unit
formation energy from the elements	-299	meV/atom

Lattice parameters (Å, degrees): 7.9647 13.7545 7.9466 90.00 107.40 90.00
With the nearest neighbours (Å) after each atom.
Space group C2/m (No. 12)
Symmetry-distinct sites (fractional):
1 Ba 0.2303 0.1561 0.2397 (multiplicity 8)  1 Ir 3.08, 1 Au 3.29
2 Ba 0.2461 0.0000 0.7646 (multiplicity 4)  1 Ir 3.09, 1 Au 3.32
3 Ir 0.0000 0.0000 0.0000 (multiplicity 2)  6 Ba 3.08-3.09
4 Au 0.0000 0.5000 0.5000 (multiplicity 2)  6 Ba 3.29-3.32

***

9.
DFT (PBE) results for NaNdSi3 after structural relaxation.

Computed properties:
size of the total moment	0.00	μB per formula unit
ΔE_f (raw)	-34.5	kJ per mole of atoms

Lattice parameters (Å, degrees): 4.3615 25.1851 3.9397 90.00 90.00 90.00
With the nearest neighbours (Å) after each atom.
Space group Cmcm (No. 63)
Symmetry-distinct sites (fractional):
1 Na 0.0000 0.2073 0.2500 (multiplicity 4)  7 Si 3.09-3.14
2 Nd 0.0000 0.0699 0.7500 (multiplicity 4)  12 Si 3.15-3.32
3 Si 0.0000 0.3309 0.2500 (multiplicity 4)  2 Si 2.36
4 Si 0.0000 0.3822 0.7500 (multiplicity 4)  3 Si 2.35-2.36
5 Si 0.0000 0.4755 0.7500 (multiplicity 4)  3 Si 2.32-2.35

***

10.
DFT (PBE) results for Dy5Tm4Sc3 after structural relaxation.

Computed properties:
size of the total moment	0.59	μB per formula unit
formation energy from the elements	220	meV/atom

Lattice parameters (Å, degrees): 15.9141 5.6512 9.0095 90.00 117.64 90.00
With the nearest neighbours (Å) after each atom.
Space group C2/m (No. 12)
Symmetry-distinct sites (fractional):
1 Dy 0.0000 0.0000 0.0000 (multiplicity 2)  4 Sc 2.83-3.03
2 Dy 0.0762 0.5000 0.7103 (multiplicity 4)  2 Sc 3.16-3.35, 1 Dy 3.42, 2 Tm 3.48
3 Dy 0.1749 0.5000 0.3798 (multiplicity 4)  4 Sc 3.12-3.30, 4 Tm 3.35-3.49
4 Tm 0.0806 0.0000 0.4384 (multiplicity 4)  2 Tm 3.23-3.52, 6 Dy 3.35-3.59, 1 Sc 3.40
5 Tm 0.2157 0.0000 0.8778 (multiplicity 4)  3 Sc 3.20-3.36, 3 Tm 3.43-3.52, 3 Dy 3.48-3.49
6 Sc 0.0000 0.5000 0.0000 (multiplicity 2)  2 Dy 2.83
7 Sc 0.2122 0.0000 0.2304 (multiplicity 4)  5 Dy 3.03-3.30, 4 Tm 3.20-3.40

***

11.
DFT (PBE) results for K2ReTc2 after structural relaxation.

Computed properties:
size of the total moment	0.00	μB per formula unit
formation energy from the elements	1755	meV/atom

Lattice parameters (Å, degrees): 3.5878 3.5878 16.3652 90.00 90.00 90.00
With the nearest neighbours (Å) after each atom.
Space group I4/mmm (No. 139)
Symmetry-distinct sites (fractional):
1 K 0.0000 0.5000 0.2500 (multiplicity 4)  4 K 2.54
2 Re 0.0000 0.0000 0.0000 (multiplicity 2)  8 Tc 2.78
3 Tc 0.0000 0.0000 0.4302 (multiplicity 4)  1 Tc 2.28

***

12.
DFT (PBE) results for Ce12Tl3Pb after structural relaxation.

Computed properties:
size of the total moment	12.26	μB per formula unit
formation energy from the elements	-158	meV/atom

Lattice parameters (Å, degrees): 4.8319 4.8319 19.2563 90.00 90.00 90.00
With the nearest neighbours (Å) after each atom.
Space group P4/mmm (No. 123)
Symmetry-distinct sites (fractional):
1 Ce 0.0000 0.0000 0.0000 (multiplicity 1)  8 Ce 3.41, 4 Tl 3.42
2 Ce 0.0000 0.0000 0.2485 (multiplicity 2)  8 Ce 3.39-3.43, 4 Tl 3.42
3 Ce 0.0000 0.0000 0.5000 (multiplicity 1)  8 Ce 3.41, 4 Pb 3.42
4 Ce 0.0000 0.5000 0.1249 (multiplicity 4)  8 Ce 3.39-3.42, 4 Tl 3.41
5 Ce 0.0000 0.5000 0.3748 (multiplicity 4)  2 Tl 3.41, 8 Ce 3.41-3.43, 2 Pb 3.41
6 Tl 0.5000 0.5000 0.0000 (multiplicity 1)  12 Ce 3.41-3.42
7 Tl 0.5000 0.5000 0.2497 (multiplicity 2)  12 Ce 3.41-3.42
8 Pb 0.5000 0.5000 0.5000 (multiplicity 1)  12 Ce 3.41-3.42

***

| no. | final energy (eV/atom) | density of states at the Fermi level (states/eV/f.u.) |
| --- | --- | --- |
| 1 | -4.848 | 4.78 |
| 2 | -2.352 | 10.61 |
| 3 | -3.552 | 3.90 |
| 4 | -5.048 | 8.64 |
| 5 | -2.845 | 3.70 |
| 6 | -5.912 | 4.63 |
| 7 | -3.959 | 1.93 |
| 8 | -3.258 | 6.74 |
| 9 | -4.829 | 1.84 |
| 10 | -4.771 | 19.95 |
| 11 | -5.320 | 6.80 |
| 12 | -5.284 | 49.97 |